(1)
Below is an optimized crystal structure of YHoCl6, with properties calculated at the PBE level.

Output
**Magnetic moment**: 0.0 μB/cell
**Energy**: -5.01 eV/atom
**Volume**: 29.8 A^3/atom
**E_form (uncorrected)**: -2249 meV/atom
**Space group**: R-3

Cell and atoms, written as extended XYZ:
```
8
Lattice="3.361 1.940 6.101 -3.361 1.940 6.101 0.000 -3.881 6.101" Properties=species:S:1:pos:R:3 pbc="T T T"
Y 0.000 0.000 0.000
Ho 0.000 0.000 9.151
Cl -0.976 -1.932 7.631
Cl -2.161 -0.121 10.671
Cl -1.185 1.811 7.631
Cl 1.185 -1.811 10.671
Cl 2.161 0.121 7.631
Cl 0.976 1.932 10.671
```

(2)
Below is an optimized crystal structure of HoZnCl, with properties calculated at the PBE level.

Output
**Magnetic moment**: 0.0 μB/cell
**Energy**: -3.70 eV/atom
**Volume**: 25.5 A^3/atom
**E_form (uncorrected)**: -1135 meV/atom
**Space group**: C2/m

Cell and atoms, written as extended XYZ:
```
6
Lattice="3.499 -2.011 0.000 3.499 2.011 0.000 -2.334 0.000 10.890" Properties=species:S:1:pos:R:3 pbc="T T T"
Ho 0.006 0.000 2.096
Ho 4.658 0.000 8.794
Zn 2.334 0.000 0.246
Zn 2.329 0.000 10.644
Cl -0.009 0.000 7.215
Cl 4.672 0.000 3.675
```

(3)
Below is an optimized crystal structure of Ho2ZrCl, with properties calculated at the PBE level.

Output
**Magnetic moment**: 0.0 μB/cell
**Energy**: -5.49 eV/atom
**Volume**: 25.3 A^3/atom
**E_form (uncorrected)**: -607 meV/atom
**Space group**: R-3m

Cell and atoms, written as extended XYZ:
```
4
Lattice="1.752 1.012 9.519 -1.752 1.012 9.519 0.000 -2.024 9.519" Properties=species:S:1:pos:R:3 pbc="T T T"
Ho 0.000 0.000 6.965
Ho 0.000 0.000 21.592
Zr 0.000 0.000 0.000
Cl 0.000 0.000 14.279
```

(4)
Below is an optimized crystal structure of ICl3, with properties calculated at the PBE level.

Output
**Magnetic moment**: 1.5 μB/cell
**Energy**: -1.41 eV/atom
**Volume**: 47.6 A^3/atom
**E_form (uncorrected)**: 366 meV/atom
**Space group**: I-42d
**Relative energy among the computed polymorphs**: 53.9 kJ per mole of atoms

Cell and atoms, written as extended XYZ:
```
8
Lattice="-3.429 3.429 8.095 3.429 -3.429 8.095 3.429 3.429 -8.095" Properties=species:S:1:pos:R:3 pbc="T T T"
I 0.000 0.000 0.000
I 0.000 3.429 4.048
Cl 3.429 0.000 4.048
Cl 0.009 1.714 2.024
Cl 0.000 0.000 8.095
Cl -1.714 3.420 6.071
Cl -0.009 5.143 2.024
Cl 1.714 3.437 6.071
```